The following is a DFT calculation (PBEsol) of crystalline YInNi2 at its relaxed geometry.

Results
Formation enthalpy at 0 K   -0.04 eV per atom
N(E_F)   0.8862 states/eV/atom
Total magnetization   0.00 μB/f.u.

The structure in POSCAR format:
```
YInNi2
1.0
4.5782 0.0000 0.0000
2.2891 3.9648 0.0000
2.2891 1.3216 3.7381
Ni Y In
2 1 1
direct
0.0000 0.0000 0.0000 Ni
0.7500 0.7500 0.7500 Ni
0.2500 0.2500 0.2500 Y
0.5000 0.5000 0.5000 In
```



The following is a DFT calculation (PBEsol) of crystalline YIn3Ni at its relaxed geometry.

Results
Formation enthalpy at 0 K   1.36 eV per atom
N(E_F)   2.6854 states/eV/atom
Total magnetization   0.24 μB/f.u.

The structure in POSCAR format:
```
YIn3Ni
1.0
-3.4447 -2.5758 3.6791
4.3067 -3.2096 1.7853
1.2738 3.8859 3.9132
In Ni Y
3 1 1
direct
0.0000 0.5000 0.0000 In
0.5000 0.0000 0.0000 In
0.0000 0.0000 0.5000 In
0.5000 0.5000 0.5000 Ni
0.0000 0.0000 0.0000 Y
```



The following is a DFT calculation (PBEsol) of crystalline Y12InNi6 at its relaxed geometry.

Results
Formation enthalpy at 0 K   -0.36 eV per atom
N(E_F)   0.9901 states/eV/atom
Total magnetization   0.00 μB/f.u.

The structure in POSCAR format:
```
Y12InNi6
1.0
8.2966 0.0000 0.0000
-2.7655 7.8221 0.0000
-2.7655 -3.9110 6.7741
Ni Y In
6 12 1
direct
0.8771 0.3771 0.5000 Ni
0.1229 0.6229 0.5000 Ni
0.6229 0.5000 0.1229 Ni
0.5000 0.1229 0.6229 Ni
0.3771 0.5000 0.8771 Ni
0.5000 0.8771 0.3771 Ni
0.6973 0.8847 0.1874 Y
0.1153 0.8126 0.3027 Y
0.3027 0.1153 0.8126 Y
0.6973 0.5099 0.8126 Y
0.3027 0.4901 0.1874 Y
0.1874 0.6973 0.8847 Y
0.4901 0.1874 0.3027 Y
0.8126 0.6973 0.5099 Y
0.1874 0.3027 0.4901 Y
0.5099 0.8126 0.6973 Y
0.8126 0.3027 0.1153 Y
0.8847 0.1874 0.6973 Y
0.0000 0.0000 0.0000 In
```



The following is a DFT calculation (PBEsol) of crystalline YInNi2 at its relaxed geometry.

Results
Formation enthalpy at 0 K   -0.37 eV per atom
N(E_F)   0.7027 states/eV/atom
Total magnetization   0.00 μB/f.u.

The structure in POSCAR format:
```
YInNi2
1.0
4.2228 0.0000 0.0000
-2.1114 5.4554 0.0000
0.0000 0.0000 5.9596
Ni In Y
4 2 2
direct
0.3963 0.7927 0.0560 Ni
0.3963 0.7927 0.4440 Ni
0.6037 0.2073 0.9440 Ni
0.6037 0.2073 0.5560 Ni
0.2143 0.4286 0.7500 In
0.7857 0.5714 0.2500 In
0.9245 0.8490 0.7500 Y
0.0755 0.1510 0.2500 Y
```



The following is a DFT calculation (PBEsol) of crystalline Y2In2Ni at its relaxed geometry.

Results
Formation enthalpy at 0 K   0.52 eV per atom
N(E_F)   0.8030 states/eV/atom
Total magnetization   0.00 μB/f.u.

The structure in POSCAR format:
```
Y2In2Ni
1.0
-2.3457 3.1709 1.4541
-1.8207 -2.6075 2.7490
7.1146 1.2471 2.6811
In Ni Y
2 1 2
direct
0.4090 0.4090 0.8181 In
0.5910 0.5910 0.1819 In
0.0000 0.0000 0.0000 Ni
0.2500 0.7500 0.5000 Y
0.7500 0.2500 0.5000 Y
```



The following is a DFT calculation (PBEsol) of crystalline Y2In2Ni at its relaxed geometry.

Results
Formation enthalpy at 0 K   -0.25 eV per atom
N(E_F)   0.8247 states/eV/atom
Total magnetization   0.00 μB/f.u.

The structure in POSCAR format:
```
Y2In2Ni
1.0
3.5438 0.0000 0.0000
0.0000 4.5044 0.0000
0.0000 -2.2522 7.0189
In Y Ni
2 2 1
direct
0.0000 0.1882 0.3763 In
0.0000 0.8118 0.6237 In
0.5000 0.3917 0.7834 Y
0.5000 0.6083 0.2166 Y
0.0000 0.0000 0.0000 Ni
```



The following is a DFT calculation (PBEsol) of crystalline Y2InNi at its relaxed geometry.

Results
Formation enthalpy at 0 K   -0.34 eV per atom
N(E_F)   0.6053 states/eV/atom
Total magnetization   0.00 μB/f.u.

The structure in POSCAR format:
```
Y2InNi
1.0
-1.0891 -1.9409 -2.8860
0.3141 -4.1556 2.6761
-4.7159 0.5509 1.4091
Y Ni In
2 1 1
direct
0.0000 0.0000 0.5000 Y
0.0000 0.5000 0.0000 Y
0.5000 0.0000 0.0000 Ni
0.5000 0.5000 0.5000 In
```



The following is a DFT calculation (PBEsol) of crystalline ZnIn2Ni2 at its relaxed geometry.

Results
Formation enthalpy at 0 K   -0.14 eV per atom
N(E_F)   0.3565 states/eV/atom
Total magnetization   0.00 μB/f.u.

The structure in POSCAR format:
```
ZnIn2Ni2
1.0
-2.3901 -1.6658 -2.1095
-1.0326 -4.4439 4.6791
-4.7733 3.7149 2.4747
Zn Ni In
2 4 4
direct
0.0000 0.0000 0.0000 Zn
0.0000 0.5000 0.5000 Zn
0.0000 0.8601 0.6399 Ni
0.0000 0.6399 0.1399 Ni
0.0000 0.3601 0.8601 Ni
0.0000 0.1399 0.3601 Ni
0.5000 0.3379 0.1621 In
0.5000 0.6621 0.8379 In
0.5000 0.8379 0.3379 In
0.5000 0.1621 0.6621 In
```



The following is a DFT calculation (PBEsol) of crystalline ZnInNi6 at its relaxed geometry.

Results
Formation enthalpy at 0 K   -0.08 eV per atom
N(E_F)   1.0616 states/eV/atom
Total magnetization   2.07 μB/f.u.

The structure in POSCAR format:
```
ZnInNi6
1.0
-5.5037 2.9389 0.0649
-0.8703 -6.1743 0.2271
0.2988 0.3338 10.2194
Zn Ni In
4 24 4
direct
0.7455 0.2545 0.5000 Zn
0.0000 0.0000 0.2546 Zn
0.2545 0.7455 0.5000 Zn
0.0000 0.0000 0.7454 Zn
0.3701 0.1158 0.3797 Ni
0.0000 0.0000 0.5000 Ni
0.1158 0.3701 0.6203 Ni
0.6299 0.8842 0.3797 Ni
0.5000 0.5000 0.0000 Ni
0.1185 0.3641 0.8697 Ni
0.6359 0.8815 0.1303 Ni
0.2464 0.7536 0.7421 Ni
0.0000 0.0000 0.0000 Ni
0.8815 0.6359 0.8697 Ni
0.3641 0.1185 0.8697 Ni
0.6299 0.8842 0.6203 Ni
0.8815 0.6359 0.1303 Ni
0.5000 0.5000 0.5000 Ni
0.8842 0.6299 0.6203 Ni
0.7536 0.2464 0.7421 Ni
0.3701 0.1158 0.6203 Ni
0.7536 0.2464 0.2579 Ni
0.1158 0.3701 0.3797 Ni
0.8842 0.6299 0.3797 Ni
0.3641 0.1185 0.1303 Ni
0.2464 0.7536 0.2579 Ni
0.6359 0.8815 0.8697 Ni
0.1185 0.3641 0.1303 Ni
0.7455 0.2545 0.0000 In
0.5000 0.5000 0.7470 In
0.5000 0.5000 0.2530 In
0.2545 0.7455 0.0000 In
```



The following is a DFT calculation (PBEsol) of crystalline ZnIn2Ni at its relaxed geometry.

Results
Formation enthalpy at 0 K   0.07 eV per atom
N(E_F)   0.4013 states/eV/atom
Total magnetization   0.00 μB/f.u.

The structure in POSCAR format:
```
ZnIn2Ni
1.0
-0.5851 1.4989 2.6701
1.6495 -2.6430 1.8452
5.2169 2.9125 -0.4918
Ni In Zn
1 2 1
direct
0.5000 0.5000 0.0000 Ni
0.0000 0.0000 0.2374 In
0.0000 0.0000 0.7626 In
0.5000 0.5000 0.5000 Zn
```



The following is a DFT calculation (PBEsol) of crystalline ZnIn2Ni2 at its relaxed geometry.

Results
Formation enthalpy at 0 K   0.17 eV per atom
N(E_F)   0.8401 states/eV/atom
Total magnetization   0.00 μB/f.u.

The structure in POSCAR format:
```
ZnIn2Ni2
1.0
-1.5666 -0.2935 2.8895
-2.8195 -0.6341 -1.5931
3.8601 -7.2505 -0.5279
Ni In Zn
2 2 1
direct
0.7500 0.2500 0.5000 Ni
0.2500 0.7500 0.5000 Ni
0.3814 0.3814 0.7627 In
0.6186 0.6186 0.2373 In
0.0000 0.0000 0.0000 Zn
```



The following is a DFT calculation (PBEsol) of crystalline ZrIn2Ni at its relaxed geometry.

Results
Formation enthalpy at 0 K   -0.12 eV per atom
N(E_F)   0.6420 states/eV/atom
Total magnetization   0.00 μB/f.u.

The structure in POSCAR format:
```
ZrIn2Ni
1.0
3.4082 0.0000 0.0000
0.0000 4.5615 0.0000
-1.7041 -2.2808 4.9250
In Ni Zr
2 1 1
direct
0.9972 0.9972 0.9943 In
0.7897 0.2897 0.5795 In
0.5043 0.5043 0.0085 Ni
0.2088 0.7088 0.4177 Zr
```



The following is a DFT calculation (PBEsol) of crystalline ZrInNi6 at its relaxed geometry.

Results
Formation enthalpy at 0 K   -0.28 eV per atom
N(E_F)   1.1210 states/eV/atom
Total magnetization   0.00 μB/f.u.

The structure in POSCAR format:
```
ZrInNi6
1.0
6.3818 -0.0023 0.0000
-2.1267 6.0170 0.0000
0.0000 0.0000 10.4163
Zr Ni In
4 24 4
direct
0.7522 0.2478 0.5000 Zr
0.2478 0.7522 0.5000 Zr
0.0000 0.0000 0.7514 Zr
0.0000 0.0000 0.2486 Zr
0.1264 0.3761 0.1256 Ni
0.3761 0.1264 0.8744 Ni
0.2488 0.7512 0.7493 Ni
0.6248 0.8756 0.3753 Ni
0.8756 0.6248 0.6247 Ni
0.0000 0.0000 0.5000 Ni
0.6239 0.8736 0.8744 Ni
0.6248 0.8756 0.6247 Ni
0.1264 0.3761 0.8744 Ni
0.8736 0.6239 0.1256 Ni
0.2488 0.7512 0.2507 Ni
0.5000 0.5000 0.0000 Ni
0.7512 0.2488 0.7493 Ni
0.1244 0.3752 0.6247 Ni
0.3752 0.1244 0.3753 Ni
0.0000 0.0000 0.0000 Ni
0.8736 0.6239 0.8744 Ni
0.1244 0.3752 0.3753 Ni
0.5000 0.5000 0.5000 Ni
0.3752 0.1244 0.6247 Ni
0.6239 0.8736 0.1256 Ni
0.8756 0.6248 0.3753 Ni
0.7512 0.2488 0.2507 Ni
0.3761 0.1264 0.1256 Ni
0.5000 0.5000 0.7499 In
0.5000 0.5000 0.2501 In
0.7531 0.2469 0.0000 In
0.2469 0.7531 0.0000 In
```



The following is a DFT calculation (PBEsol) of crystalline ZrIn3Ni at its relaxed geometry.

Results
Formation enthalpy at 0 K   0.17 eV per atom
N(E_F)   0.5759 states/eV/atom
Total magnetization   0.00 μB/f.u.

The structure in POSCAR format:
```
ZrIn3Ni
1.0
-3.6816 -1.9610 -2.3020
3.0014 -1.9276 -3.1582
0.3685 -3.8907 2.7250
In Zr Ni
3 1 1
direct
0.5000 0.0000 0.0000 In
0.0000 0.0000 0.5000 In
0.0000 0.5000 0.0000 In
0.5000 0.5000 0.5000 Zr
0.0000 0.0000 0.0000 Ni
```



The following is a DFT calculation (PBEsol) of crystalline Zr2In5Ni at its relaxed geometry.

Results
Formation enthalpy at 0 K   -0.35 eV per atom
N(E_F)   0.4215 states/eV/atom
Total magnetization   0.00 μB/f.u.

The structure in POSCAR format:
```
Zr2In5Ni
1.0
6.6924 0.0000 0.0000
0.0000 9.9921 0.0000
0.0000 0.0000 9.9921
Zr In Ni
8 20 4
direct
0.0000 0.6622 0.6622 Zr
0.0000 0.3378 0.3378 Zr
0.0000 0.1983 0.8017 Zr
0.0000 0.8017 0.1983 Zr
0.5000 0.3017 0.3017 Zr
0.5000 0.6983 0.6983 Zr
0.5000 0.1622 0.8378 Zr
0.5000 0.8378 0.1622 Zr
0.2219 0.7007 0.9413 In
0.7219 0.2007 0.5587 In
0.7025 0.5000 0.5000 In
0.7219 0.7993 0.4413 In
0.2781 0.4413 0.7993 In
0.7975 0.0000 0.0000 In
0.7219 0.4413 0.7993 In
0.7219 0.5587 0.2007 In
0.2219 0.0587 0.2993 In
0.2025 0.0000 0.0000 In
0.2781 0.2007 0.5587 In
0.2975 0.5000 0.5000 In
0.2781 0.7993 0.4413 In
0.7781 0.9413 0.7007 In
0.7781 0.7007 0.9413 In
0.2219 0.9413 0.7007 In
0.7781 0.2993 0.0587 In
0.7781 0.0587 0.2993 In
0.2781 0.5587 0.2007 In
0.2219 0.2993 0.0587 In
0.0000 0.6142 0.3858 Ni
0.5000 0.1142 0.1142 Ni
0.0000 0.3858 0.6142 Ni
0.5000 0.8858 0.8858 Ni
```



The following is a DFT calculation (PBEsol) of crystalline ZrIn2Ni at its relaxed geometry.

Results
Formation enthalpy at 0 K   -0.19 eV per atom
N(E_F)   0.7187 states/eV/atom
Total magnetization   0.00 μB/f.u.

The structure in POSCAR format:
```
ZrIn2Ni
1.0
-1.1168 -2.4940 -1.5780
-0.9309 -1.3035 2.7188
-6.8152 3.4743 -0.6677
Zr In Ni
1 2 1
direct
0.5000 0.5000 0.7020 Zr
0.0000 0.0000 0.9909 In
0.5000 0.5000 0.2988 In
0.0000 0.0000 0.5084 Ni
```



The following is a DFT calculation (PBEsol) of crystalline ZrIn2Ni2 at its relaxed geometry.

Results
Formation enthalpy at 0 K   0.01 eV per atom
N(E_F)   0.8996 states/eV/atom
Total magnetization   0.00 μB/f.u.

The structure in POSCAR format:
```
ZrIn2Ni2
1.0
3.8595 0.0000 0.0000
0.0000 3.8595 0.0000
-1.9298 -1.9298 5.8925
Ni In Zr
2 2 1
direct
0.7500 0.2500 0.5000 Ni
0.2500 0.7500 0.5000 Ni
0.6163 0.6163 0.2326 In
0.3837 0.3837 0.7674 In
0.0000 0.0000 0.0000 Zr
```



The following is a DFT calculation (PBEsol) of crystalline RbInOsO2 at its relaxed geometry.

Results
E_tot   -0.1661 hartree per atom
N(E_F)   1.0095 states/eV/atom
Total magnetization   4.02 μB/f.u.

The structure in POSCAR format:
```
RbInOsO2
1.0
-1.4392 2.0712 -3.5675
-0.0471 -3.7864 -2.1793
-4.9836 -0.8208 1.5339
Rb Os O In
1 1 2 1
direct
0.5000 0.5000 0.5000 Rb
0.0000 0.0000 0.5000 Os
0.5000 0.0000 0.0000 O
0.0000 0.5000 0.0000 O
0.0000 0.0000 0.0000 In
```



The following is a DFT calculation (PBEsol) of crystalline In3P2O8 at its relaxed geometry.

Results
E_tot   -0.2462 hartree per atom
N(E_F)   0.0000 states/eV/atom
Total magnetization   0.00 μB/f.u.

The structure in POSCAR format:
```
In3P2O8
1.0
-2.6091 -3.3259 8.6741
2.3650 -7.4115 -5.7084
7.5958 5.8731 0.9586
P O In
8 32 12
direct
0.5892 0.0000 0.0000 P
0.9108 0.9108 0.4108 P
0.4108 0.4108 0.9108 P
0.0000 0.5000 0.5892 P
0.5000 0.5892 0.5000 P
0.0892 0.0000 0.0000 P
0.0000 0.5000 0.0892 P
0.5000 0.0892 0.5000 P
0.5046 0.0846 0.3404 O
0.4253 0.0000 0.0000 O
0.6596 0.2442 0.6642 O
0.5000 0.4253 0.5000 O
0.0046 0.3404 0.0846 O
0.7558 0.9200 0.4154 O
0.0800 0.9954 0.8358 O
0.9154 0.7558 0.4200 O
0.2442 0.1642 0.1596 O
0.8404 0.5046 0.5846 O
0.5800 0.8358 0.9954 O
0.5000 0.9253 0.5000 O
0.3358 0.0800 0.4954 O
0.7442 0.1596 0.1642 O
0.6642 0.7442 0.6596 O
0.3404 0.5846 0.5046 O
0.9954 0.3358 0.5800 O
0.5747 0.5747 0.0747 O
0.4200 0.2558 0.9154 O
0.4954 0.5800 0.3358 O
0.0000 0.5000 0.9253 O
0.0747 0.0747 0.5747 O
0.9253 0.0000 0.0000 O
0.4154 0.4200 0.7558 O
0.0846 0.8404 0.0046 O
0.2558 0.4154 0.9200 O
0.5846 0.0046 0.8404 O
0.0000 0.5000 0.4253 O
0.9200 0.9154 0.2558 O
0.1596 0.6642 0.2442 O
0.1642 0.6596 0.7442 O
0.8358 0.4954 0.0800 O
0.7557 0.0057 0.7500 In
0.2557 0.7500 0.0057 In
0.4943 0.7500 0.2443 In
0.0057 0.2500 0.2557 In
0.7500 0.5057 0.7557 In
0.2500 0.7557 0.5057 In
0.2443 0.2500 0.4943 In
0.7443 0.4943 0.2500 In
0.5057 0.2557 0.2500 In
0.2500 0.9943 0.7443 In
0.9943 0.2443 0.7500 In
0.7500 0.7443 0.9943 In
```